First-principles (PBE) data for an optimized crystal structure of K2FeSb, as listed in the Alexandria database.

POSCAR file:
```
K2FeSb
1.0
6.358 0.000 0.000
0.000 6.358 0.000
0.000 0.000 3.309
K Fe Sb
2 1 1
Direct
0.000 0.500 0.000
0.500 0.000 0.000
0.000 0.000 0.500
0.500 0.500 0.500
```

E_form (uncorrected) in kJ/mol of formula units: 231.3
V in Å³/atom: 33.44
Uncorrected energy in eV per atom: -3.10


First-principles (PBE) data for an optimized crystal structure of KFe2Sb, as listed in the Alexandria database.

POSCAR file:
```
KFe2Sb
1.0
3.203 -4.957 0.000
3.203 4.957 0.000
-1.293 0.000 2.612
K Fe Sb
1 2 1
Direct
0.000 0.000 0.000
0.000 0.500 0.500
0.500 0.000 0.500
0.500 0.500 0.000
```

E_form (uncorrected) in kJ/mol of formula units: 360.4
Energy relative to the lowest polymorph listed for this composition in eV/f.u.: 2.91
V in Å³/atom: 20.73
Uncorrected energy in eV per atom: -4.60


First-principles (PBE) data for an optimized crystal structure of K2FeSb, as listed in the Alexandria database.

POSCAR file:
```
K2FeSb
1.0
0.000 3.804 3.804
3.804 0.000 3.804
3.804 3.804 0.000
K Fe Sb
2 1 1
Direct
0.000 0.000 0.000
0.250 0.250 0.250
0.500 0.500 0.500
0.750 0.750 0.750
```

E_form (uncorrected) in kJ/mol of formula units: 147.6
V in Å³/atom: 27.51
Uncorrected energy in eV per atom: -3.31


First-principles (PBE) data for an optimized crystal structure of K2FeSb, as listed in the Alexandria database.

POSCAR file:
```
K2FeSb
1.0
4.534 0.000 0.000
0.000 4.534 0.000
0.000 0.000 5.512
K Fe Sb
2 1 1
Direct
0.000 0.500 0.000
0.500 0.000 0.000
0.000 0.000 0.500
0.500 0.500 0.500
```

E_form (uncorrected) in kJ/mol of formula units: 186.4
V in Å³/atom: 28.33
Uncorrected energy in eV per atom: -3.21


First-principles (PBE) data for an optimized crystal structure of KFeSb2, as listed in the Alexandria database.

POSCAR file:
```
KFeSb2
1.0
-3.121 3.121 7.377
3.121 -3.121 7.377
3.121 3.121 -7.377
K Fe Sb
2 2 4
Direct
0.000 0.000 0.000
0.750 0.250 0.500
0.250 0.750 0.500
0.500 0.500 0.000
0.374 0.625 0.249
0.375 0.624 0.749
0.376 0.125 0.751
0.875 0.626 0.251
```

E_form (uncorrected) in kJ/mol of formula units: 45.0
Energy relative to the lowest polymorph listed for this composition in eV/f.u.: 0.70
V in Å³/atom: 35.92
Uncorrected energy in eV per atom: -4.33


First-principles (PBE) data for an optimized crystal structure of KFe3Sb, as listed in the Alexandria database.

POSCAR file:
```
KFe3Sb
1.0
4.971 0.000 0.000
0.000 4.971 0.000
0.000 0.000 4.971
K Fe Sb
1 3 1
Direct
0.000 0.000 0.000
0.000 0.500 0.500
0.500 0.000 0.500
0.500 0.500 0.000
0.500 0.500 0.500
```

E_form (uncorrected) in kJ/mol of formula units: 511.4
Energy relative to the lowest polymorph listed for this composition in eV/f.u.: 0.00
V in Å³/atom: 24.57
Uncorrected energy in eV per atom: -5.06


First-principles (PBE) data for an optimized crystal structure of KFeSb2, as listed in the Alexandria database.

POSCAR file:
```
KFeSb2
1.0
-1.618 1.867 8.710
1.618 -1.867 8.710
1.618 1.867 -8.710
K Fe Sb
1 1 2
Direct
0.000 0.000 0.000
0.235 0.735 0.500
0.351 0.351 0.000
0.671 0.171 0.500
```

E_form (uncorrected) in kJ/mol of formula units: 7.4
Energy relative to the lowest polymorph listed for this composition in eV/f.u.: 0.31
V in Å³/atom: 26.30
Uncorrected energy in eV per atom: -4.43


First-principles (PBE) data for an optimized crystal structure of KFe2Sb, as listed in the Alexandria database.

POSCAR file:
```
KFe2Sb
1.0
-2.366 2.857 3.485
2.366 -2.857 3.485
2.366 2.857 -3.485
K Fe Sb
1 2 1
Direct
0.000 0.000 0.000
0.334 0.834 0.500
0.666 0.166 0.500
0.500 0.500 0.000
```

E_form (uncorrected) in kJ/mol of formula units: 282.4
Energy relative to the lowest polymorph listed for this composition in eV/f.u.: 2.10
V in Å³/atom: 23.55
Uncorrected energy in eV per atom: -4.80